No. 1
DFT (meta-GGA SCAN) results for MnSb2Pd2 at its PBEsol-relaxed geometry.

Lattice parameters (Å, degrees): 5.205 5.205 7.678 90.00 90.00 90.00
Space group I4/mmm (No. 139)
Symmetry-distinct sites (fractional):
Mn 0.000 0.000 0.000 [2 per cell]
Sb 0.000 0.500 0.250 [4 per cell]
Pd 0.000 0.000 0.332 [4 per cell]

No. 2
DFT (meta-GGA SCAN) results for Mn2SbPdSe at its PBEsol-relaxed geometry.

Lattice parameters (Å, degrees): 4.410 4.410 5.385 90.00 90.00 90.00
Space group P4/mmm (No. 123)
Symmetry-distinct sites (fractional):
Mn 0.000 0.500 0.000 [2 per cell]
Sb 0.000 0.000 0.500 [1 per cell]
Pd 0.500 0.500 0.500 [1 per cell]
Se 0.000 0.000 0.000 [1 per cell]

No. 3
DFT (meta-GGA SCAN) results for MnPd3Se at its PBEsol-relaxed geometry.

Lattice parameters (Å, degrees): 4.582 4.582 4.582 90.00 90.00 90.00
Space group Pm-3m (No. 221)
Symmetry-distinct sites (fractional):
Mn 0.000 0.000 0.000 [1 per cell]
Pd 0.000 0.500 0.500 [3 per cell]
Se 0.500 0.500 0.500 [1 per cell]

No. 4
DFT (meta-GGA SCAN) results for MnPdSe3 at its PBEsol-relaxed geometry.

Lattice parameters (Å, degrees): 4.851 4.851 4.851 90.00 90.00 90.00
Space group Pm-3m (No. 221)
Symmetry-distinct sites (fractional):
Mn 0.000 0.000 0.000 [1 per cell]
Pd 0.500 0.500 0.500 [1 per cell]
Se 0.000 0.500 0.500 [3 per cell]

No. 5
DFT (meta-GGA SCAN) results for TaMnPdSe2 at its PBEsol-relaxed geometry.

Lattice parameters (Å, degrees): 4.493 4.493 4.619 90.00 90.00 90.00
Space group P4/mmm (No. 123)
Symmetry-distinct sites (fractional):
Ta 0.000 0.000 0.000 [1 per cell]
Mn 0.500 0.500 0.500 [1 per cell]
Pd 0.500 0.500 0.000 [1 per cell]
Se 0.000 0.500 0.500 [2 per cell]

No. 6
DFT (meta-GGA SCAN) results for MnZnPdSe2 at its PBEsol-relaxed geometry.

Lattice parameters (Å, degrees): 4.539 4.539 4.830 90.00 90.00 90.00
Space group P4/mmm (No. 123)
Symmetry-distinct sites (fractional):
Mn 0.000 0.000 0.000 [1 per cell]
Zn 0.500 0.500 0.500 [1 per cell]
Pd 0.000 0.000 0.500 [1 per cell]
Se 0.000 0.500 0.000 [2 per cell]

Number 1: electronic total energy -31.750 eV per atom, formation energy from raw total energies -0.08 eV/atom. Number 2: electronic total energy -24.839 eV per atom, formation energy from raw total energies 0.49 eV/atom. Number 3: electronic total energy -27.264 eV per atom, formation energy from raw total energies 0.07 eV/atom. Number 4: electronic total energy -21.983 eV per atom, formation energy from raw total energies 0.27 eV/atom. Number 5: electronic total energy -30.866 eV per atom, formation energy from raw total energies 0.69 eV/atom. Number 6: electronic total energy -20.603 eV per atom, formation energy from raw total energies 0.34 eV/atom.